No. 1
PBE Mn2CrS, relaxed; space-group type = No. 122; VASP energy = -7.635 eV per atom
1.0
-3.5210 5.4138 -1.4234
-4.5718 -1.8108 4.4219
-2.9355 2.9495 3.1179
Cr S Mn
2 2 4
Direct
0.7500 0.2500 0.5000
0.0000 0.0000 0.0000
0.5000 0.5000 0.0000
0.2500 0.7500 0.5000
0.3750 0.4502 0.7500
0.5498 0.1250 0.2500
0.8750 0.7998 0.7500
0.2002 0.6250 0.2500

=====

No. 2
PBE MnCrS2, relaxed; energy relative to the lowest polymorph listed for this composition = 0 meV/atom; space-group type = No. 122
1.0
-1.9770 2.3605 -4.0979
3.9188 -1.6686 -2.8518
-1.7579 -4.0172 -4.6717
S Mn Cr
4 2 2
Direct
0.6404 0.1250 0.2500
0.3750 0.3596 0.7500
0.1096 0.6250 0.2500
0.8750 0.8904 0.7500
0.0000 0.0000 0.0000
0.7500 0.2500 0.5000
0.2500 0.7500 0.5000
0.5000 0.5000 0.0000

=====

No. 3
PBE Mn3Cr3S8, relaxed; space-group type = No. 166; VASP energy = -7.033 eV per atom
1.0
0.3179 -4.3933 5.6321
6.0414 -3.5531 1.4144
3.9359 1.7840 5.6964
Mn Cr S
3 3 8
Direct
0.6247 0.6247 0.6247
0.0000 0.0000 0.0000
0.3753 0.3753 0.3753
0.0000 0.0000 0.5000
0.5000 0.0000 0.0000
0.0000 0.5000 0.0000
0.2189 0.7591 0.7591
0.7591 0.2189 0.7591
0.7811 0.2409 0.2409
0.2393 0.2393 0.2393
0.2409 0.7811 0.2409
0.2409 0.2409 0.7811
0.7607 0.7607 0.7607
0.7591 0.7591 0.2189

=====

No. 4
PBE MnCr3S, relaxed; energy relative to the lowest polymorph listed for this composition = 384 meV/atom; space-group type = No. 221
1.0
-2.7438 -2.9665 -1.9050
0.9554 -2.9493 3.2166
-3.3936 1.5682 2.4458
S Cr Mn
1 3 1
Direct
0.5000 0.5000 0.5000
0.0000 0.5000 0.0000
0.5000 0.0000 0.0000
0.0000 0.0000 0.5000
0.0000 0.0000 0.0000

=====

No. 5
PBE MnCr3S, relaxed; energy relative to the lowest polymorph listed for this composition = 0 meV/atom; space-group type = No. 221
1.0
4.0778 0.0000 0.0000
0.0000 4.0778 0.0000
0.0000 0.0000 4.0778
Mn S Cr
1 1 3
Direct
0.5000 0.5000 0.5000
0.0000 0.0000 0.0000
0.0000 0.5000 0.0000
0.0000 0.0000 0.5000
0.5000 0.0000 0.0000

=====

No. 6
PBE Mn2CrS6, relaxed; space-group type = No. 12; VASP energy = -6.399 eV per atom
1.0
-2.1985 0.8445 2.3435
-4.0257 -5.9774 -1.6227
6.4579 -2.0233 4.4323
S Mn Cr
6 2 1
Direct
0.6603 0.1061 0.3205
0.0098 0.2340 0.0195
0.3256 0.4393 0.6512
0.6744 0.5607 0.3488
0.3397 0.8939 0.6795
0.9902 0.7660 0.9805
0.8332 0.6669 0.6664
0.1668 0.3331 0.3336
0.5000 0.0000 0.0000

=====

No. 7
PBE Mn2CrS5, relaxed; space-group type = No. 69; VASP energy = -6.276 eV per atom
1.0
-1.6170 -0.8259 -3.9280
-4.1085 -4.7318 0.3026
-5.3720 3.6153 -0.9325
Cr S Mn
1 5 2
Direct
0.5000 0.5000 0.5000
0.2197 0.7425 0.8181
0.7803 0.2575 0.1819
0.4622 0.2575 0.8181
0.0000 0.5000 0.5000
0.5378 0.7425 0.1819
0.8086 0.5000 0.8827
0.1914 0.5000 0.1173

=====

No. 8
PBE MnCr2S5, relaxed; space-group type = No. 69; VASP energy = -6.391 eV per atom
1.0
4.0181 0.0000 1.3494
2.0091 6.1651 0.6747
0.0728 0.0000 6.4403
Mn S Cr
1 5 2
Direct
0.5000 0.5000 0.5000
0.5470 0.7350 0.1710
0.0000 0.5000 0.5000
0.7820 0.2650 0.1710
0.2180 0.7350 0.8290
0.4530 0.2650 0.8290
0.8110 0.5000 0.8779
0.1890 0.5000 0.1221

=====

No. 9
PBE Mn2Cr13S20, relaxed; space-group type = No. 2; VASP energy = -7.088 eV per atom
1.0
-1.3508 -5.5132 -5.5378
-4.7611 -4.1969 5.0427
-5.1253 6.7538 -2.2399
S Cr Mn
20 13 2
Direct
0.3241 0.5520 0.9073
0.1940 0.4834 0.5042
0.6078 0.3200 0.6934
0.2044 0.9211 0.0943
0.4062 0.1170 0.8953
0.5229 0.7516 0.7055
0.8060 0.5166 0.4958
0.0076 0.7207 0.2927
0.7234 0.9509 0.5066
0.9924 0.2793 0.7073
0.3922 0.6800 0.3066
0.6759 0.4480 0.0927
0.1240 0.3517 0.1057
0.2766 0.0491 0.4934
0.9239 0.1518 0.3063
0.8760 0.6483 0.8943
0.7956 0.0789 0.9057
0.5938 0.8830 0.1047
0.4771 0.2484 0.2945
0.0761 0.8482 0.6937
0.6656 0.1816 0.1350
0.7347 0.2174 0.4663
0.8997 0.8997 0.1005
0.5000 0.5000 0.5000
0.4652 0.9804 0.3351
0.3344 0.8184 0.8650
0.1348 0.6192 0.0652
0.8652 0.3808 0.9348
0.2653 0.7826 0.5337
0.9347 0.4203 0.2649
0.1003 0.1003 0.8995
0.5348 0.0196 0.6649
0.0653 0.5797 0.7351
0.3004 0.3003 0.7002
0.6996 0.6997 0.2998

=====

No. 10
PBE Mn3CrS6, relaxed; space-group type = No. 14; VASP energy = -6.655 eV per atom
1.0
-1.3261 -5.5861 1.9427
5.6305 -2.0566 -2.0700
3.6530 1.8009 8.1471
S Mn Cr
12 6 2
Direct
0.6472 0.4308 0.2572
0.8323 0.6726 0.5482
0.6857 0.1861 0.6041
0.3528 0.5692 0.7428
0.3323 0.8274 0.0482
0.1857 0.3139 0.1041
0.1677 0.3274 0.4518
0.3143 0.8139 0.3959
0.8143 0.6861 0.8959
0.1472 0.0692 0.7572
0.6677 0.1726 0.9518
0.8528 0.9308 0.2428
0.9922 0.4117 0.7015
0.0000 0.0000 0.5000
0.5000 0.5000 0.0000
0.5078 0.9117 0.7985
0.0078 0.5883 0.2985
0.4922 0.0883 0.2015
0.0000 0.0000 0.0000
0.5000 0.5000 0.5000

=====

No. 11
PBE MnCr2Se3S, relaxed; space-group type = No. 8; VASP energy = -6.683 eV per atom
1.0
6.9068 -0.0137 0.0278
5.9360 3.5310 0.0278
2.7163 0.7439 5.6692
S Se Cr Mn
1 3 2 1
Direct
0.8629 0.8629 0.8211
0.6381 0.6381 0.6954
0.3684 0.3684 0.2983
0.1262 0.1262 0.1996
0.7438 0.7438 0.2406
0.2617 0.2617 0.7597
0.9988 0.9988 0.9852

=====

No. 12
PBE MnCr2Se2S2, relaxed; space-group type = No. 216; VASP energy = -6.831 eV per atom
1.0
-7.0016 -2.2449 -0.1898
-2.8538 -3.6325 5.7236
-5.0205 3.2472 4.2835
S Mn Se Cr
4 2 4 4
Direct
0.8862 0.8862 0.8862
0.3414 0.8862 0.8862
0.8862 0.8862 0.3414
0.8862 0.3414 0.8862
0.5000 0.5000 0.5000
0.7500 0.7500 0.7500
0.9063 0.3646 0.3646
0.3646 0.3646 0.9063
0.3646 0.9063 0.3646
0.3646 0.3646 0.3646
0.6384 0.1205 0.1205
0.1205 0.1205 0.6384
0.1205 0.1205 0.1205
0.1205 0.6384 0.1205